Here is an optimized crystal structure of BaPb3S4 from Alexandria via LeMat-Bulk. Energies are from PBE-GGA.

extended XYZ file:
```
16
Lattice="8.654 0.000 0.000 0.000 12.226 0.000 0.000 0.000 4.330" Properties=species:S:1:pos:R:3 pbc="T T T"
Ba 0.000 0.000 0.000
Ba 4.327 6.113 0.000
Pb 0.000 6.113 0.000
Pb 2.163 3.056 2.165
Pb 2.163 9.169 2.165
Pb 4.327 0.000 0.000
Pb 6.490 3.056 2.165
Pb 6.490 9.169 2.165
S 0.000 3.111 0.000
S 0.000 9.115 0.000
S 2.086 6.113 2.165
S 2.241 0.000 2.165
S 4.327 3.002 0.000
S 4.327 9.224 0.000
S 6.413 0.000 2.165
S 6.568 6.113 2.165
```

## Properties
E_form (uncorrected) (eV/atom): -0.91
VASP energy (eV per formula unit): -36.85



Here is an optimized crystal structure of PuMgZnAg from Alexandria via LeMat-Bulk. Energies are from PBE-GGA.

extended XYZ file:
```
16
Lattice="7.014 0.000 0.000 0.000 7.014 0.000 0.000 0.000 7.014" Properties=species:S:1:pos:R:3 pbc="T T T"
Pu 0.000 0.000 0.000
Pu 0.000 3.507 3.507
Pu 3.507 0.000 3.507
Pu 3.507 3.507 0.000
Mg 0.000 0.000 3.507
Mg 0.000 3.507 0.000
Mg 3.507 0.000 0.000
Mg 3.507 3.507 3.507
Zn 1.753 1.753 1.753
Zn 1.753 5.260 5.260
Zn 5.260 1.753 5.260
Zn 5.260 5.260 1.753
Ag 1.753 1.753 5.260
Ag 1.753 5.260 1.753
Ag 5.260 1.753 1.753
Ag 5.260 5.260 5.260
```

## Properties
VASP energy (eV per formula unit): -20.17
DFT formation energy (eV per formula unit): -0.1



Here is an optimized crystal structure of ZnGaIrBr2 from Alexandria via LeMat-Bulk. Energies are from PBE-GGA.

extended XYZ file:
```
5
Lattice="5.224 0.000 0.000 0.000 5.224 0.000 0.000 0.000 4.857" Properties=species:S:1:pos:R:3 pbc="T T T"
Zn 0.000 0.000 0.000
Ga 2.612 2.612 0.000
Ir 0.000 0.000 2.428
Br 0.000 2.612 2.428
Br 2.612 0.000 2.428
```

## Properties
E_form (uncorrected) (eV/atom): 0.24
VASP energy (eV per formula unit): -15.33